Computed, not measured: a relaxed Pm2HgGeO6 crystal at the PBE level of DFT.

a b c (Å): 5.2039 5.3841 5.3841
angles (deg): 90.00 90.00 90.00
With the nearest neighbours (Å) after each atom.
Positions (direct):
O: 0.7406 0.7698 0.2302  1 Ge 1.88
O: 0.7406 0.2302 0.7698  1 Ge 1.88
O: 0.2617 0.0000 0.0000  1 Ge 1.80
Pm: 0.9962 0.5000 0.0000  4 O 2.33
O: 0.7406 0.2302 0.2302  1 Ge 1.88
Pm: 0.9962 0.0000 0.5000  4 O 2.33
Ge: 0.6076 0.0000 0.0000  5 O 1.80-1.88
Hg: 0.5142 0.5000 0.5000  1 O 2.11
O: 0.1087 0.5000 0.5000  1 Hg 2.11
O: 0.7406 0.7698 0.7698  1 Ge 1.88

Results
Crystal system: tetragonal
Formation energy without anion corrections in eV per atom: -2.126
VASP energy in eV/cell: -65.43